Here is ScInNiSe3 after structural relaxation from OQMD via LeMat-Bulk. Energies are from GGA-PBE.

offset from the most stable computed form	90.1	meV/atom
uncorrected energy	-4.935	eV per atom
SG	C2/m, No. 12
total moment	0.01	μB per formula unit

```
ScInNiSe3
1.0
8.005 -1.955 0.000
8.005 1.955 0.000
-2.165 0.000 8.441
Sc In Ni Se
2 2 2 6
Direct
0.169 0.169 0.082
0.831 0.831 0.918
0.140 0.140 0.562
0.860 0.860 0.438
0.496 0.496 0.811
0.504 0.504 0.189
0.000 0.000 0.000
0.338 0.338 0.706
0.344 0.344 0.141
0.500 0.500 0.500
0.656 0.656 0.859
0.662 0.662 0.294
```